[1]
DFT (PBE) results for a relaxed SnTeAs2 crystal.

The calculation puts the total DFT energy (no corrections) at -0.2861 Ry per atom. The value obtained for the offset from the most stable computed form is 0.000 eV per formula unit. As for the crystal system: tetragonal.

a = 7.189 Å, b = 7.189 Å, c = 9.382 Å
α = 90.00°, β = 90.00°, γ = 90.00°
Space group I-42d (No. 122)
Unique sites:
Sn 0.000 0.000 0.000
Te 0.000 0.000 0.500
As 0.233 0.250 0.125

[2]
DFT (PBE) results for a relaxed SnTeAs crystal.

The calculation puts the total DFT energy (no corrections) at -0.2891 Ry per atom. As for the crystal system: trigonal.

a = 4.2098 Å, b = 4.2098 Å, c = 5.2941 Å
α = 90.00°, β = 90.00°, γ = 120.00°
Space group P3m1 (No. 156)
Unique sites:
Sn 0.0000 0.0000 0.0000
Te 0.6667 0.3333 0.6345
As 0.3333 0.6667 0.2768

[3]
DFT (PBE) results for a relaxed SnTe3As crystal.

The calculation puts the total DFT energy (no corrections) at -0.2719 Ry per atom. The value obtained for the offset from the most stable computed form is 0.000 eV per formula unit. As for the crystal system: monoclinic.

a = 7.632 Å, b = 4.106 Å, c = 10.721 Å
α = 90.00°, β = 104.05°, γ = 90.00°
Space group P2_1/m (No. 11)
Unique sites:
Sn 0.228 0.250 0.497
Te 0.020 0.750 0.320
Te 0.272 0.750 0.005
Te 0.484 0.750 0.678
As 0.381 0.250 0.853

[4]
DFT (PBE) results for a relaxed Sn3Te2As crystal.

The calculation puts the total DFT energy (no corrections) at -0.2941 Ry per atom. The value obtained for the offset from the most stable computed form is 0.000 eV per formula unit. As for the crystal system: monoclinic.

a = 13.989 Å, b = 6.151 Å, c = 8.700 Å
α = 90.00°, β = 108.02°, γ = 90.00°
Space group C2/c (No. 15)
Unique sites:
Sn 0.000 0.011 0.250
Sn 0.146 0.498 0.073
Te 0.172 0.002 0.586
As 0.000 0.492 0.250

[5]
DFT (PBE) results for a relaxed SnTe3As crystal.

The calculation puts the total DFT energy (no corrections) at -0.2638 Ry per atom. The value obtained for the offset from the most stable computed form is 0.556 eV per formula unit. As for the crystal system: monoclinic.

a = 6.777 Å, b = 5.280 Å, c = 11.557 Å
α = 90.00°, β = 100.51°, γ = 90.00°
Space group P2_1/m (No. 11)
Unique sites:
Sn 0.017 0.250 0.297
Te 0.163 0.250 0.610
Te 0.235 0.750 0.264
Te 0.355 0.750 0.886
As 0.417 0.250 0.816

[6]
DFT (PBE) results for a relaxed SnTe3As crystal.

The calculation puts the total DFT energy (no corrections) at -0.2054 Ry per atom. The value obtained for the offset from the most stable computed form is 4.528 eV per formula unit. As for the crystal system: cubic.

a = 5.637 Å, b = 5.637 Å, c = 5.637 Å
α = 90.00°, β = 90.00°, γ = 90.00°
Space group Pm-3m (No. 221)
Unique sites:
Sn 0.000 0.000 0.000
Te 0.000 0.000 0.500
As 0.500 0.500 0.500